[1]
## La8Sb2Ir (PBE-GGA)

Data for a relaxed La8Sb2Ir crystal.

It has space group C2/m (No. 12), with a = 19.172 Å, b = 4.642 Å, c = 8.317 Å, α = 90.00°, β = 98.43° and γ = 90.00°. The distinct sites, in fractional coordinates, are La at (0.004, 0.000, 0.286), La at (0.093, 0.500, 0.007), La at (0.149, 0.500, 0.523), La at (0.212, 0.000, 0.857), Sb at (0.182, 0.000, 0.256) and Ir at (0.000, 0.500, 0.500).

Its formation energy without anion corrections is -0.594 eV per atom.

[2]
## NaLiTlSb (PBE-GGA)

Data for a relaxed NaLiTlSb crystal.

It has space group F-43m (No. 216), with a = 7.345 Å, b = 7.345 Å, c = 7.345 Å, α = 90.00°, β = 90.00° and γ = 90.00°. The distinct sites, in fractional coordinates, are Na at (0.000, 0.000, 0.000), Li at (0.000, 0.000, 0.500), Tl at (0.250, 0.250, 0.750) and Sb at (0.250, 0.250, 0.250).

Its formation energy without anion corrections is -0.346 eV per atom.

[3]
## MgAs2Pb (PBE-GGA)

Data for a relaxed MgAs2Pb crystal.

It has space group C2/m (No. 12), with a = 6.092 Å, b = 7.848 Å, c = 3.902 Å, α = 90.00°, β = 98.33° and γ = 90.00°. The distinct sites, in fractional coordinates, are Mg at (0.000, 0.000, 0.000), As at (0.250, 0.250, 0.500) and Pb at (0.000, 0.500, 0.000).

The formation energy comes out at 1.7 kJ/mol of atoms.

[4]
## SmHoRh (PBE-GGA)

Data for a relaxed SmHoRh crystal.

It has space group F-43m (No. 216), with a = 6.853 Å, b = 6.853 Å, c = 6.853 Å, α = 90.00°, β = 90.00° and γ = 90.00°. The distinct sites, in fractional coordinates, are Sm at (0.000, 0.000, 0.000), Ho at (0.000, 0.000, 0.500) and Rh at (0.250, 0.250, 0.250).

Its distance to the lowest polymorph of the same formula is 0.0 meV/atom. The formation energy comes out at -52.5 kJ/mol of atoms.

[5]
## YSc2As2 (PBE-GGA)

Data for a relaxed YSc2As2 crystal.

It has space group I4/mmm (No. 139), with a = 5.078 Å, b = 5.078 Å, c = 9.428 Å, α = 90.00°, β = 90.00° and γ = 90.00°. The distinct sites, in fractional coordinates, are Y at (0.000, 0.000, 0.000), Sc at (0.000, 0.000, 0.332) and As at (0.000, 0.500, 0.250).

Its distance to the lowest polymorph of the same formula is 386.0 meV/atom. The formation energy comes out at -68.7 kJ/mol of atoms.

[6]
## LaThPtI (PBE-GGA)

Data for a relaxed LaThPtI crystal.

It has space group R3m (No. 160, hexagonal axes), with a = 4.2667 Å, b = 4.2667 Å, c = 24.6934 Å, α = 90.00°, β = 90.00° and γ = 120.00°. The distinct sites, in fractional coordinates, are La at (0.0000, 0.0000, 0.0000), Th at (0.0000, 0.0000, 0.7941), Pt at (0.0000, 0.0000, 0.4019) and I at (0.0000, 0.0000, 0.2292).

Its formation energy without anion corrections is -1.054 eV per atom.

[7]
## SrMgCo2 (PBE-GGA)

Data for a relaxed SrMgCo2 crystal.

It has space group I-4m2 (No. 119), with a = 4.757 Å, b = 4.757 Å, c = 6.785 Å, α = 90.00°, β = 90.00° and γ = 90.00°. The distinct sites, in fractional coordinates, are Sr at (0.000, 0.000, 0.000), Mg at (0.000, 0.500, 0.250), Co at (0.000, 0.000, 0.500) and Co at (0.000, 0.500, 0.750).

Its distance to the lowest polymorph of the same formula is 512.7 meV/atom. The formation energy comes out at 63.1 kJ/mol of atoms.

[8]
## RbZrInBr6 (PBE-GGA)

Data for a relaxed RbZrInBr6 crystal.

It has space group P-31c (No. 163), with a = 7.9251 Å, b = 7.9251 Å, c = 13.8702 Å, α = 90.00°, β = 90.00° and γ = 120.00°. The distinct sites, in fractional coordinates, are Rb at (0.0000, 0.0000, 0.0000), Zr at (0.3333, 0.6667, 0.2500), In at (0.3333, 0.6667, 0.7500) and Br at (0.0563, 0.3963, 0.1391).

Its formation energy without anion corrections is -1.336 eV per atom.